VASP calculation (meta-GGA SCAN) on a crystal of LiMg2Tc relaxed with PBEsol.

* DFT formation energy: 92 kJ/mol of formula units
* E_tot: -0.4267 hartree per atom
* magnetization: 0.0 Bohr magnetons per cell
* density of states at the Fermi level: 1.4 states/eV/cell
* V: 67 Å³ per cell
* SG: No. 99
* energy above the lowest structure with this stoichiometry: 0.12 eV per formula unit

abc: 2.7073 2.7073 9.1928
angles: 90.00 90.00 90.00
Closest atoms and distances in Å follow each position.
Fractional positions:
1 Tc 0.0000 0.0000 0.5035  4 Tc 2.71, 4 Li 2.81, 4 Mg 2.83
2 Mg 0.5000 0.5000 0.2762  4 Mg 2.71, 4 Tc 2.83
3 Mg 0.0000 0.0000 0.9923  4 Mg 2.71
4 Li 0.5000 0.5000 0.7280  4 Li 2.71, 4 Tc 2.81